FePdO2F: optimized geometry, GGA+U.

Uncorrected energy, eV per atom: -5.2151
Theoretical density, Mg/m³: 5.90
DOS(E_F), states/eV/atom: 0.8003
Magnetization, μB/cell: 6.611

Lattice parameters (Å, degrees): 3.924 3.924 3.896 90.00 90.00 90.00
Space group P4/mmm (No. 123)
Unique sites:
Fe 0.000 0.000 0.000
Pd 0.500 0.500 0.500
O 0.000 0.500 0.000
F 0.000 0.000 0.500